Computed, not measured: a geometry-optimized ZnPb2Br structure at the PBE-GGA level of DFT.

The structure in CIF format:
```
data_ZnPb2Br
_chemical_formula_sum 'Zn1 Pb2 Br1'
_cell_length_a 5.776
_cell_length_b 5.776
_cell_length_c 5.776
_cell_angle_alpha 129.51
_cell_angle_beta 129.51
_cell_angle_gamma 74.20
_symmetry_space_group_name_H-M 'P 1'
_symmetry_Int_Tables_number 1
_symmetry_space_group_name_Hall 'P 1'
loop_
_atom_site_label
_atom_site_type_symbol
_atom_site_fract_x
_atom_site_fract_y
_atom_site_fract_z
Zn1 Zn 0.250 0.750 0.500
Pb1 Pb 0.000 0.000 0.000
Pb2 Pb 0.500 0.500 0.000
Br1 Br 0.750 0.250 0.500
```

Results
The symmetry is No. 139. As for the energy relative to the elements, uncorrected: 0.03 eV per atom.